Entry 1:
Density functional theory data (PBE) for crystalline Sm3ErAl at its relaxed geometry.

```
Sm3ErAl
1.0
-1.9697 -3.0732 0.0381
2.2597 -3.5512 5.3328
-7.8813 5.1553 8.2296
Sm Er Al
6 2 2
Cartesian
-0.2739 -1.9752 1.6464
-5.4042 -0.7963 6.0978
-2.1871 -0.6728 7.5028
0.4805 -2.3946 6.5545
-8.0718 0.9255 7.0461
-7.3174 0.5061 11.9541
-5.0472 1.1817 9.1413
-2.5441 -2.6508 4.4592
-3.6223 0.1996 3.6946
-3.9690 -1.6687 9.9060
```

Calculated values
Total magnetic moment = 0.0030 μB per atom
E = -4.62 eV/atom


Entry 2:
Density functional theory data (PBE) for crystalline PH6I2 at its relaxed geometry.

```
PH6I2
1.0
8.4814 -0.7276 -0.4211
0.0279 4.0498 -1.2758
0.0279 0.9115 4.1470
P H I
1 6 2
Cartesian
0.0000 0.0000 0.0000
8.3885 -0.3597 1.1130
1.5359 0.2218 0.1284
0.1486 3.4479 3.3165
8.3885 0.7859 -0.8664
0.1486 4.5934 1.3372
7.0012 4.0120 2.3218
5.4758 2.8144 1.6287
3.0613 1.4194 0.8215
```

Calculated values
Total magnetic moment = 0.0000 μB per atom
E = -2.95 eV/atom